(1)
Entry from Alexandria: an optimized crystal structure of MgGeI2N (PBE).

## Properties
Polymorph energy (0 for the lowest one): 84 meV/atom
SG: P4/mmm
Density: 4.5 g/cm³
Volume: 135.32 Å³ per cell

a b c (Å): 5.8041 5.8041 4.0169
angles (deg): 90.00 90.00 90.00
Last column: nearest neighbours and their distance in Å.
Fractional positions:
Mg 0.0000 0.0000 0.0000  2 N 2.01
Ge 0.5000 0.5000 0.5000  8 I 3.53
I 0.0000 0.5000 0.0000  2 Mg 2.90
I 0.5000 0.0000 0.0000  2 Mg 2.90
N 0.0000 0.0000 0.5000  2 Mg 2.01


(2)
Entry from Alexandria: an optimized crystal structure of Na2MgGeI (PBE).

## Properties
SG: P4/mmm
Density: 2.3 g/cm³
Volume: 193.65 Å³ per cell

a b c (Å): 5.7597 5.7597 5.8372
angles (deg): 90.00 90.00 90.00
Last column: nearest neighbours and their distance in Å.
Fractional positions:
Na 0.0000 0.5000 0.0000  2 Ge 2.88
Na 0.5000 0.0000 0.0000  2 Ge 2.88
Mg 0.0000 0.0000 0.5000  4 I 4.07, 8 Na 4.10
Ge 0.5000 0.5000 0.0000  4 Na 2.88, 2 I 2.92
I 0.5000 0.5000 0.5000  2 Ge 2.92


(3)
Entry from Alexandria: an optimized crystal structure of MgGeIO2 (PBE).

## Properties
Polymorph energy (0 for the lowest one): 0 meV/atom
SG: P4/mmm
Density: 4.6 g/cm³
Volume: 91.89 Å³ per cell

a b c (Å): 3.9199 3.9199 5.9803
angles (deg): 90.00 90.00 90.00
Last column: nearest neighbours and their distance in Å.
Fractional positions:
Mg 0.0000 0.0000 0.0000  4 I 2.77
Ge 0.5000 0.5000 0.5000  4 O 1.96
I 0.5000 0.5000 0.0000  4 Mg 2.77, 2 Ge 2.99
O 0.0000 0.5000 0.5000  2 Ge 1.96
O 0.5000 0.0000 0.5000  2 Ge 1.96


(4)
Entry from Alexandria: an optimized crystal structure of MgGeIO2 (PBE).

## Properties
Polymorph energy (0 for the lowest one): 170 meV/atom
SG: P4/mmm
Density: 4.5 g/cm³
Volume: 93.38 Å³ per cell

a b c (Å): 4.0813 4.0813 5.6061
angles (deg): 90.00 90.00 90.00
Last column: nearest neighbours and their distance in Å.
Fractional positions:
Mg 0.0000 0.0000 0.0000  4 O 2.04
Ge 0.5000 0.5000 0.5000  4 I 2.89
I 0.0000 0.0000 0.5000  2 Mg 2.80, 4 Ge 2.89
O 0.0000 0.5000 0.0000  2 Mg 2.04
O 0.5000 0.0000 0.0000  2 Mg 2.04


(5)
Entry from Alexandria: an optimized crystal structure of MgGeOs2I (PBE).

## Properties
SG: P4/mmm
Density: 8.3 g/cm³
Volume: 120.54 Å³ per cell

a b c (Å): 4.8054 4.8054 5.2199
angles (deg): 90.00 90.00 90.00
Last column: nearest neighbours and their distance in Å.
Fractional positions:
Mg 0.0000 0.0000 0.0000  4 Os 2.40, 2 I 2.61
Ge 0.5000 0.5000 0.5000  4 I 3.40, 8 Os 3.55
Os 0.0000 0.5000 0.0000  2 Mg 2.40
Os 0.5000 0.0000 0.0000  2 Mg 2.40
I 0.0000 0.0000 0.5000  2 Mg 2.61


(6)
Entry from Alexandria: an optimized crystal structure of MgGe2OsI (PBE).

## Properties
SG: P4/mmm
Density: 6.5 g/cm³
Volume: 125.05 Å³ per cell

a b c (Å): 5.0552 5.0552 4.8933
angles (deg): 90.00 90.00 90.00
Last column: nearest neighbours and their distance in Å.
Fractional positions:
Mg 0.0000 0.0000 0.0000  2 Os 2.45, 4 Ge 2.53
Ge 0.0000 0.5000 0.0000  2 Mg 2.53
Ge 0.5000 0.0000 0.0000  2 Mg 2.53
Os 0.0000 0.0000 0.5000  2 Mg 2.45
I 0.5000 0.5000 0.5000  8 Ge 3.52, 4 Os 3.57


(7)
Entry from Alexandria: an optimized crystal structure of MgGePI2 (PBE).

## Properties
SG: P4/mmm
Density: 4.0 g/cm³
Volume: 159.80 Å³ per cell

a b c (Å): 5.8176 5.8176 4.7215
angles (deg): 90.00 90.00 90.00
Last column: nearest neighbours and their distance in Å.
Fractional positions:
Mg 0.0000 0.0000 0.0000  8 I 3.75, 4 P 4.11
Ge 0.5000 0.5000 0.5000  2 P 2.36
P 0.5000 0.5000 0.0000  2 Ge 2.36
I 0.0000 0.5000 0.5000  2 Ge 2.91
I 0.5000 0.0000 0.5000  2 Ge 2.91


(8)
Entry from Alexandria: an optimized crystal structure of MgReGeI2 (PBE).

## Properties
Polymorph energy (0 for the lowest one): 0 meV/atom
SG: P4/mmm
Density: 6.0 g/cm³
Volume: 148.65 Å³ per cell

a b c (Å): 5.2969 5.2969 5.2981
angles (deg): 90.00 90.00 90.00
Last column: nearest neighbours and their distance in Å.
Fractional positions:
Mg 0.0000 0.0000 0.0000  2 Re 2.65
Re 0.0000 0.0000 0.5000  4 I 2.65, 2 Mg 2.65
Ge 0.5000 0.5000 0.0000  4 Mg 3.75, 8 I 3.75
I 0.0000 0.5000 0.5000  2 Re 2.65
I 0.5000 0.0000 0.5000  2 Re 2.65


(9)
Entry from Alexandria: an optimized crystal structure of MgReGeI2 (PBE).

## Properties
Polymorph energy (0 for the lowest one): 269 meV/atom
SG: P4/mmm
Density: 5.3 g/cm³
Volume: 169.52 Å³ per cell

a b c (Å): 5.6480 5.6480 5.3140
angles (deg): 90.00 90.00 90.00
Last column: nearest neighbours and their distance in Å.
Fractional positions:
Mg 0.0000 0.0000 0.0000  2 Ge 2.66, 4 I 2.82
Re 0.5000 0.5000 0.5000  8 I 3.88, 4 Ge 3.99
Ge 0.0000 0.0000 0.5000  2 Mg 2.66
I 0.0000 0.5000 0.0000  2 Mg 2.82
I 0.5000 0.0000 0.0000  2 Mg 2.82


(10)
Entry from Alexandria: an optimized crystal structure of MgGeSb2I (PBE).

## Properties
Polymorph energy (0 for the lowest one): 0 meV/atom
SG: P4/mmm
Density: 4.7 g/cm³
Volume: 166.72 Å³ per cell

a b c (Å): 5.4207 5.4207 5.6738
angles (deg): 90.00 90.00 90.00
Last column: nearest neighbours and their distance in Å.
Fractional positions:
Mg 0.0000 0.0000 0.0000  4 I 3.83, 8 Sb 3.92
Ge 0.5000 0.5000 0.5000  4 Sb 2.71, 2 I 2.84
Sb 0.0000 0.5000 0.5000  2 Ge 2.71
Sb 0.5000 0.0000 0.5000  2 Ge 2.71
I 0.5000 0.5000 0.0000  2 Ge 2.84


(11)
Entry from Alexandria: an optimized crystal structure of MgGeSbI2 (PBE).

## Properties
Polymorph energy (0 for the lowest one): 0 meV/atom
SG: P4/mmm
Density: 4.3 g/cm³
Volume: 181.25 Å³ per cell

a b c (Å): 5.6489 5.6489 5.6800
angles (deg): 90.00 90.00 90.00
Last column: nearest neighbours and their distance in Å.
Fractional positions:
Mg 0.0000 0.0000 0.0000  4 Sb 3.99, 8 I 4.01
Ge 0.5000 0.5000 0.5000  4 I 2.82, 2 Sb 2.84
Sb 0.5000 0.5000 0.0000  2 Ge 2.84
I 0.0000 0.5000 0.5000  2 Ge 2.82
I 0.5000 0.0000 0.5000  2 Ge 2.82


(12)
Entry from Alexandria: an optimized crystal structure of MgGeSbI2 (PBE).

## Properties
Polymorph energy (0 for the lowest one): 30 meV/atom
SG: P4/mmm
Density: 4.5 g/cm³
Volume: 173.29 Å³ per cell

a b c (Å): 5.5152 5.5152 5.6972
angles (deg): 90.00 90.00 90.00
Last column: nearest neighbours and their distance in Å.
Fractional positions:
Mg 0.0000 0.0000 0.0000  4 I 2.76, 2 Sb 2.85
Ge 0.5000 0.5000 0.5000  4 Sb 3.90, 8 I 3.96
Sb 0.0000 0.0000 0.5000  2 Mg 2.85
I 0.0000 0.5000 0.0000  2 Mg 2.76
I 0.5000 0.0000 0.0000  2 Mg 2.76


(13)
Entry from Alexandria: an optimized crystal structure of MgGeSb2I (PBE).

## Properties
Polymorph energy (0 for the lowest one): 101 meV/atom
SG: P4/mmm
Density: 4.8 g/cm³
Volume: 162.91 Å³ per cell

a b c (Å): 5.4224 5.4224 5.5407
angles (deg): 90.00 90.00 90.00
Last column: nearest neighbours and their distance in Å.
Fractional positions:
Mg 0.0000 0.0000 0.0000  4 Sb 2.71, 2 I 2.77
Ge 0.5000 0.5000 0.5000  4 I 3.83, 8 Sb 3.88
Sb 0.0000 0.5000 0.0000  2 Mg 2.71
Sb 0.5000 0.0000 0.0000  2 Mg 2.71
I 0.0000 0.0000 0.5000  2 Mg 2.77


Number 1: formation energy (no corrections) 2.2 eV per formula unit, E_tot -0.226 Ry/atom, size of the total moment 1.60 μB per cell. Number 2: formation energy (no corrections) 0.8 eV per formula unit, E_tot -0.142 Ry/atom, size of the total moment 0.00 μB per cell. Number 3: formation energy (no corrections) -2.6 eV per formula unit, E_tot -0.298 Ry/atom, size of the total moment 0.00 μB per cell. Number 4: formation energy (no corrections) -1.7 eV per formula unit, E_tot -0.286 Ry/atom, size of the total moment 0.00 μB per cell. Number 5: formation energy (no corrections) 11.0 eV per formula unit, E_tot -0.282 Ry/atom, size of the total moment 3.50 μB per cell. Number 6: formation energy (no corrections) 7.1 eV per formula unit, E_tot -0.243 Ry/atom, size of the total moment 1.57 μB per cell. Number 7: formation energy (no corrections) 1.8 eV per formula unit, E_tot -0.189 Ry/atom, size of the total moment 0.71 μB per cell. Number 8: formation energy (no corrections) 5.3 eV per formula unit, E_tot -0.242 Ry/atom, size of the total moment 1.97 μB per cell. Number 9: formation energy (no corrections) 6.6 eV per formula unit, E_tot -0.223 Ry/atom, size of the total moment 4.92 μB per cell. Number 10: formation energy (no corrections) 2.3 eV per formula unit, E_tot -0.201 Ry/atom, size of the total moment 0.00 μB per cell. Number 11: formation energy (no corrections) 1.3 eV per formula unit, E_tot -0.178 Ry/atom, size of the total moment 0.51 μB per cell. Number 12: formation energy (no corrections) 1.5 eV per formula unit, E_tot -0.176 Ry/atom, size of the total moment 0.00 μB per cell. Number 13: formation energy (no corrections) 2.8 eV per formula unit, E_tot -0.193 Ry/atom, size of the total moment 0.00 μB per cell.